The following is a DFT calculation (PBE-GGA) of a relaxed Pm2UTe4 crystal.

## Properties
- ΔE_f (raw): -1.084 eV per atom

abc: 4.3289 14.6479 15.1062
angles: 90.00 90.00 90.00
Space group Cmcm (No. 63)
Symmetry-distinct sites (fractional):
Pm1 0.0000 0.1345 0.0672 (multiplicity 8)
U1 0.0000 0.3784 0.2500 (multiplicity 4)
Te1 0.0000 0.0345 0.2500 (multiplicity 4)
Te2 0.0000 0.2219 0.6270 (multiplicity 8)
Te3 0.0000 0.5000 0.0000 (multiplicity 4)

The following is a DFT calculation (PBE-GGA) of a relaxed PmU2Te4 crystal.

## Properties
- ΔE_f (raw): -0.788 eV per atom

abc: 4.2200 14.2598 15.3408
angles: 90.00 90.00 90.00
Space group Cmcm (No. 63)
Symmetry-distinct sites (fractional):
Pm1 0.0000 0.1103 0.2500 (multiplicity 4)
U1 0.0000 0.3582 0.0630 (multiplicity 8)
Te1 0.0000 0.0000 0.0000 (multiplicity 4)
Te2 0.0000 0.2840 0.6284 (multiplicity 8)
Te3 0.0000 0.4449 0.2500 (multiplicity 4)

The following is a DFT calculation (PBE-GGA) of a relaxed Pm6UTe12 crystal.

## Properties
- ΔE_f (raw): -1.173 eV per atom

abc: 13.6161 13.6161 12.8612
angles: 90.00 90.00 120.00
Space group R-3 (No. 148, hexagonal axes)
Symmetry-distinct sites (fractional):
Pm1 0.0499 0.7728 0.1317 (multiplicity 18)
U1 0.0000 0.0000 0.5000 (multiplicity 3)
Te1 0.0322 0.8182 0.8905 (multiplicity 18)
Te2 0.0546 0.8566 0.3723 (multiplicity 18)